Density functional theory data (PBE-GGA) for an optimized crystal structure of AlSbS3.

The structure belongs to space group Pm-3m (No. 221); the cell edges are 4.622, 4.622 and 4.622 Å and the angles 90.00°, 90.00° and 90.00°. Symmetry generates all atoms from Al at (0.000, 0.000, 0.000), Sb at (0.500, 0.500, 0.500) and S at (0.000, 0.000, 0.500).

The magnetic moment is 0.00 μB/f.u. Its energy relative to the elements, uncorrected is -0.124 eV/atom. The density comes out at 4.12 g/cm³. The energy above the most stable polymorph in this dataset is 517 meV/atom.

---

Density functional theory data (PBE-GGA) for an optimized crystal structure of AlSbS2.

The structure belongs to space group P2_1/c (No. 14); the cell edges are 8.915, 5.484 and 11.048 Å and the angles 90.00°, 124.61° and 90.00°. Symmetry generates all atoms from Al at (0.170, 0.165, 0.029), Sb at (0.352, 0.041, 0.772), S at (0.134, 0.745, 0.553) and S at (0.185, 0.217, 0.341).

The magnetic moment is 0.00 μB/f.u. Its energy relative to the elements, uncorrected is -0.377 eV/atom. The density comes out at 3.18 g/cm³. The energy above the most stable polymorph in this dataset is 312 meV/atom.

---

Density functional theory data (PBE-GGA) for an optimized crystal structure of AlSbS2.

The structure belongs to space group P4/mmm (No. 123); the cell edges are 3.933, 3.933 and 5.550 Å and the angles 90.00°, 90.00° and 90.00°. Symmetry generates all atoms from Al at (0.000, 0.000, 0.000), Sb at (0.500, 0.500, 0.500), S at (0.000, 0.000, 0.500) and S at (0.500, 0.500, 0.000).

The magnetic moment is 0.00 μB/f.u. Its energy relative to the elements, uncorrected is -0.132 eV/atom. The density comes out at 4.12 g/cm³. The energy above the most stable polymorph in this dataset is 557 meV/atom.

---

Density functional theory data (PBE-GGA) for an optimized crystal structure of AlSbS2.

The structure belongs to space group R3m (No. 160, hexagonal axes); the cell edges are 4.4240, 4.4240 and 19.4779 Å and the angles 90.00°, 90.00° and 120.00°. Symmetry generates all atoms from Al at (0.0000, 0.0000, 0.0000), Sb at (0.0000, 0.0000, 0.5727), S at (0.0000, 0.0000, 0.3514) and S at (0.0000, 0.0000, 0.8754).

The magnetic moment is 0.00 μB/f.u. Its energy relative to the elements, uncorrected is -0.052 eV/atom. The density comes out at 3.21 g/cm³. The energy above the most stable polymorph in this dataset is 637 meV/atom.

---

Density functional theory data (PBE-GGA) for an optimized crystal structure of AlSbS2.

The structure belongs to space group Pnma (No. 62); the cell edges are 7.421, 3.568 and 15.358 Å and the angles 90.00°, 90.00° and 90.00°. Symmetry generates all atoms from Al at (0.039, 0.250, 0.081), Sb at (0.144, 0.250, 0.658), S at (0.132, 0.250, 0.223) and S at (0.158, 0.250, 0.939).

The magnetic moment is 0.00 μB/f.u. Its energy relative to the elements, uncorrected is -0.439 eV/atom. The density comes out at 3.48 g/cm³. The energy above the most stable polymorph in this dataset is 249 meV/atom.

---

Density functional theory data (PBE-GGA) for an optimized crystal structure of AlSb2S4.

The structure belongs to space group I-42m (No. 121); the cell edges are 6.919, 6.919 and 7.388 Å and the angles 90.00°, 90.00° and 90.00°. Symmetry generates all atoms from Al at (0.000, 0.000, 0.000), Sb at (0.000, 0.500, 0.000) and S at (0.205, 0.205, 0.151).

The magnetic moment is 0.00 μB/f.u. Its energy relative to the elements, uncorrected is -0.333 eV/atom. The density comes out at 3.74 g/cm³. The energy above the most stable polymorph in this dataset is 65 meV/atom.

---

> Which value of energy above the most stable polymorph in this dataset does entry 4 give?

637 meV/atom

---

> Number 3 is which compound?

AlSbS2